Entry 1:
# CuP4Cl | the Alexandria database | PBE | optimized geometry
# **Magnetization**: 0.00 μB per atom
# **Volume**: 123.7 Å³/f.u.
# **Formation energy without anion corrections**: 0.408 eV per atom
data_CuP4Cl
_chemical_formula_sum 'Cu4 P16 Cl4'
_cell_length_a 7.910
_cell_length_b 7.910
_cell_length_c 7.910
_cell_angle_alpha 90.00
_cell_angle_beta 90.00
_cell_angle_gamma 90.00
_symmetry_space_group_name_H-M 'F -4 3 m'
_symmetry_Int_Tables_number 216
_symmetry_space_group_name_Hall 'F -4 2 3'
loop_
_atom_site_label
_atom_site_type_symbol
_atom_site_fract_x
_atom_site_fract_y
_atom_site_fract_z
_atom_site_occupancy
Cu1 Cu 0.000 0.000 0.000 1
P1 P 0.099 0.099 0.599 1
Cl1 Cl 0.250 0.250 0.250 1

Entry 2:
# CuP2Cl | the Alexandria database | PBE | optimized geometry
# **Magnetization**: 0.00 μB per atom
# **Volume**: 62.0 Å³/f.u.
# **Formation energy without anion corrections**: 0.650 eV per atom
data_CuP2Cl
_chemical_formula_sum 'Cu4 P8 Cl4'
_cell_length_a 6.282
_cell_length_b 6.282
_cell_length_c 6.282
_cell_angle_alpha 90.00
_cell_angle_beta 90.00
_cell_angle_gamma 90.00
_symmetry_space_group_name_H-M 'F -4 3 m'
_symmetry_Int_Tables_number 216
_symmetry_space_group_name_Hall 'F -4 2 3'
loop_
_atom_site_label
_atom_site_type_symbol
_atom_site_fract_x
_atom_site_fract_y
_atom_site_fract_z
_atom_site_occupancy
Cu1 Cu 0.000 0.000 0.000 1
P1 P 0.000 0.000 0.500 1
P2 P 0.250 0.250 0.750 1
Cl1 Cl 0.250 0.250 0.250 1